A plane-wave DFT calculation with PBE+U was carried out for an optimized crystal structure of AcDyCrO6.

The structure in POSCAR format:
```
AcDyCrO6
1.0
-5.2382 -1.3601 -0.7006
-3.2159 -0.7963 4.3363
-1.3053 5.0480 -0.0411
O Cr Ac Dy
6 1 1 1
Cartesian
-3.7330 0.6149 -0.2191
-1.7449 1.1423 1.4311
-5.2054 2.4662 1.0229
-3.1437 3.0118 2.5743
-4.1261 0.5344 2.3873
-2.8701 3.0613 -0.0483
-3.4704 1.8045 1.1914
-9.7591 2.8912 3.5946
-6.2887 1.0872 2.4033
```

Results
* magnetic moment: 0.0 μB per formula unit
* SG: P312, No. 149
* electronic total energy: -7.4280 eV/atom